[1]
The following is a DFT calculation (meta-GGA SCAN) of GeAs2Pt at its PBEsol-relaxed geometry.

Summary:
Spin magnetization: 0.00 μB/f.u.
D(E_F): 6.151 states/eV/cell
Volume: 90.03 Å³/f.u.
Calculated total energy: -521.6 eV per cell

abc: 5.671 5.671 11.198
angles: 90.00 90.00 90.00
Space group I-42d (No. 122)
Asymmetric unit:
Ge  0.000  0.000  0.000
As  0.236  0.250  0.625
Pt  0.000  0.000  0.500



[2]
The following is a DFT calculation (meta-GGA SCAN) of NiAgPO2 at its PBEsol-relaxed geometry.

Summary:
E_form (uncorrected): 0.7865 eV per atom
Spin magnetization: 2.19 μB/f.u.
D(E_F): 3.344 states/eV/cell
Volume: 72.27 Å³/f.u.

abc: 3.795 3.795 5.019
angles: 90.00 90.00 90.00
Space group P4/mmm (No. 123)
Asymmetric unit:
Ni  0.000  0.000  0.000
Ag  0.500  0.500  0.500
P  0.500  0.500  0.000
O  0.000  0.500  0.500



[3]
The following is a DFT calculation (meta-GGA SCAN) of V2P4H3O16 at its PBEsol-relaxed geometry.

Summary:
Spin magnetization: 1.00 μB/f.u.
D(E_F): 4.970 states/eV/cell
Volume: 262.37 Å³/f.u.
Calculated total energy: -240.9 eV per cell

abc: 4.838 7.032 7.967
angles: 90.02 91.45 104.45
Space group P1 (No. 1)
Asymmetric unit:
V  0.000  0.000  0.000
V  0.500  0.500  0.500
P  0.110  0.767  0.346
P  0.374  0.736  0.840
P  0.626  0.264  0.160
P  0.891  0.234  0.654
H  0.153  0.422  0.903
H  0.502  0.001  0.501
H  0.848  0.578  0.097
O  0.016  0.792  0.159
O  0.168  0.870  0.833
O  0.174  0.315  0.561
O  0.264  0.555  0.950
O  0.276  0.605  0.343
O  0.280  0.958  0.420
O  0.348  0.147  0.072
O  0.428  0.673  0.662
O  0.572  0.327  0.337
O  0.652  0.853  0.928
O  0.720  0.042  0.580
O  0.724  0.396  0.657
O  0.736  0.445  0.050
O  0.826  0.685  0.439
O  0.832  0.130  0.167
O  0.984  0.208  0.841



[4]
The following is a DFT calculation (meta-GGA SCAN) of CaLu2Ge4O12 at its PBEsol-relaxed geometry.

Summary:
E_form (uncorrected): -2.6258 eV per atom
Spin magnetization: 0.00 μB/f.u.
D(E_F): 0.000 states/eV/cell
Volume: 243.99 Å³/f.u.

abc: 13.929 13.980 5.012
angles: 90.00 90.00 90.00
Space group Cmme (No. 67)
Asymmetric unit:
Ca  0.250  0.250  0.000
Lu  0.000  0.000  0.000
Lu  0.250  0.000  0.000
Ge  0.116  0.133  0.496
O  0.000  0.121  0.325
O  0.115  0.055  0.764
O  0.120  0.250  0.647
O  0.200  0.125  0.246



[5]
The following is a DFT calculation (meta-GGA SCAN) of Li3Co3NiO8 at its PBEsol-relaxed geometry.

Summary:
E_form (uncorrected): -1.6957 eV per atom
Spin magnetization: 0.00 μB/f.u.
Volume: 126.60 Å³/f.u.
Relative energy among the computed polymorphs: 28 meV per atom

abc: 9.703 5.604 5.656
angles: 90.00 124.58 90.00
Space group C2/m (No. 12)
Asymmetric unit:
Li  0.000  0.000  0.000
Li  0.250  0.250  0.000
Co  0.000  0.000  0.500
Co  0.250  0.250  0.500
Ni  0.000  0.500  0.500
O  0.014  0.246  0.291
O  0.235  0.000  0.711
O  0.239  0.500  0.716



[6]
The following is a DFT calculation (meta-GGA SCAN) of ReNiSe at its PBEsol-relaxed geometry.

Summary:
E_form (uncorrected): 0.5182 eV per atom
Spin magnetization: 0.00 μB/f.u.
D(E_F): 10.846 states/eV/cell
Volume: 47.34 Å³/f.u.

abc: 5.743 5.743 5.743
angles: 90.00 90.00 90.00
Space group F-43m (No. 216)
Asymmetric unit:
Re  0.000  0.000  0.000
Ni  0.250  0.250  0.250
Se  0.250  0.250  0.750



[7]
The following is a DFT calculation (meta-GGA SCAN) of SrOs2 at its PBEsol-relaxed geometry.

Summary:
Spin magnetization: 0.00 μB/f.u.
D(E_F): 4.388 states/eV/cell
Volume: 60.90 Å³/f.u.
Calculated total energy: -329.5 eV per cell

abc: 2.803 3.890 11.170
angles: 90.00 90.00 90.00
Space group Immm (No. 71)
Asymmetric unit:
Sr  0.000  0.000  0.000
Os  0.000  0.000  0.287



[8]
The following is a DFT calculation (meta-GGA SCAN) of SrIrCl at its PBEsol-relaxed geometry.

Summary:
E_form (uncorrected): 0.0581 eV per atom
Spin magnetization: 0.56 μB/f.u.
D(E_F): 1.567 states/eV/cell
Volume: 67.25 Å³/f.u.

abc: 3.3501 3.3501 6.9189
angles: 90.00 90.00 120.00
Space group P3m1 (No. 156)
Asymmetric unit:
Sr  0.0000  0.0000  0.0000
Ir  0.3333  0.6667  0.3312
Cl  0.6667  0.3333  0.7070